Sm4TlGa | GGA-PBE | relaxed

- Electronic total energy: -4.150 eV per atom
- Calculated formation energy: -105 meV/atom
- Polymorph energy (0 for the lowest one): 218 meV/atom
- Crystal system: orthorhombic

Unit cell a=11.748 b=11.748 c=6.601 alpha=90.00 beta=90.00 gamma=154.44
Fractional coordinates of all 12 atoms:
Sm1 0.068 0.932 0.500
Sm2 0.203 0.797 0.742
Sm3 0.204 0.796 0.261
Sm4 0.366 0.634 0.502
Sm5 0.634 0.366 0.002
Sm6 0.796 0.204 0.761
Sm7 0.797 0.203 0.242
Sm8 0.932 0.068 0.000
Tl1 0.066 0.934 0.000
Tl2 0.934 0.066 0.500
Ga1 0.336 0.664 0.002
Ga2 0.664 0.336 0.502